The following is a DFT calculation (GGA+U) of Rb3La3CrO8 after structural relaxation.

It has space group C2/m (No. 12), with a = 12.437 Å, b = 7.088 Å, c = 7.769 Å, α = 90.00°, β = 121.76° and γ = 90.00°. The asymmetric unit holds Rb at (0.000, 0.000, 0.000), Rb at (0.250, 0.250, 0.000), La at (0.000, 0.500, 0.500), La at (0.250, 0.250, 0.500), Cr at (0.000, 0.000, 0.500), O at (0.016, 0.210, 0.340), O at (0.202, 0.000, 0.664) and O at (0.226, 0.500, 0.682).

For the mass density, the calculation gives 4.87 Mg/m³. The calculation puts the calculated total energy at -6.68 eV/atom.